Model w:
Compound: LiBTeOs
Source: OQMD via LeMat-Bulk
Functional: GGA-PBE
Structure: relaxed

```
data_LiBTeOs
_cell_length_a 6.0424
_cell_length_b 6.0424
_cell_length_c 6.0424
_cell_angle_alpha 90.00
_cell_angle_beta 90.00
_cell_angle_gamma 90.00
_space_group_name_H-M_alt 'F -4 3 m'
_space_group_IT_number 216
_space_group_name_Hall 'F -4 2 3'
loop_
_atom_site_label
_atom_site_type_symbol
_atom_site_fract_x
_atom_site_fract_y
_atom_site_fract_z
Li1 Li 0.0000 0.0000 0.0000
B1 B 0.0000 0.0000 0.5000
Te1 Te 0.2500 0.2500 0.2500
Os1 Os 0.2500 0.2500 0.7500
```


Model x:
Compound: LiBTeOs
Source: OQMD via LeMat-Bulk
Functional: GGA-PBE
Structure: relaxed

```
data_LiBTeOs
_cell_length_a 6.0830
_cell_length_b 6.0830
_cell_length_c 6.0830
_cell_angle_alpha 90.00
_cell_angle_beta 90.00
_cell_angle_gamma 90.00
_space_group_name_H-M_alt 'F -4 3 m'
_space_group_IT_number 216
_space_group_name_Hall 'F -4 2 3'
loop_
_atom_site_label
_atom_site_type_symbol
_atom_site_fract_x
_atom_site_fract_y
_atom_site_fract_z
Li1 Li 0.0000 0.0000 0.0000
B1 B 0.2500 0.2500 0.7500
Te1 Te 0.2500 0.2500 0.2500
Os1 Os 0.0000 0.0000 0.5000
```


Most stable structure among those shown: model x. Next: +0.393 eV/atom.